The following is a PBE-GGA calculation of crystalline BeFeIr2 at its relaxed geometry, from the Alexandria database.

For the total energy, the calculation gives -61.1 eV per cell. The formation enthalpy at 0 K comes out at -0.158 eV per atom. For the volume, the calculation gives 101.1 Å³/cell. As for the density of states at the Fermi level: 3.06 states/eV/f.u.

It has space group Immm (No. 71), with a = 2.7654 Å, b = 4.4242 Å, c = 8.2640 Å, α = 90.00°, β = 90.00° and γ = 90.00°. The inequivalent atoms are Be at (0.0000, 0.0000, 0.0000), Fe at (0.0000, 0.0000, 0.5000) and Ir at (0.0000, 0.5000, 0.2796).